1.
{
  "formula": "YTaGe2Ru",
  "functional": "GGA-PBEsol",
  "state": "relaxed",
  "lattice_angstrom": [[4.882, 0.000, 0.000], [0.000, 4.882, 0.000], [0.000, 0.000, 4.669]],
  "species": ["Y", "Ta", "Ge", "Ge", "Ru"],
  "frac_coords": [[0.000, 0.000, 0.000], [0.500, 0.500, 0.500], [0.000, 0.500, 0.500], [0.500, 0.000, 0.500], [0.500, 0.500, 0.000]],
  "ef_ev_per_fu": 1.9,
  "magmom_total_mub_per_cell": 0.00
}

2.
{
  "formula": "Tb2Ge2Ru",
  "functional": "GGA-PBEsol",
  "state": "relaxed",
  "lattice_angstrom": [[5.346, -2.119, 0.000], [5.346, 2.119, 0.000], [-4.858, 0.000, 8.880]],
  "species": ["Tb", "Tb", "Tb", "Tb", "Ge", "Ge", "Ge", "Ge", "Ru", "Ru"],
  "frac_coords": [[0.002, 0.002, 0.174], [0.185, 0.185, 0.611], [0.815, 0.815, 0.389], [0.998, 0.998, 0.826], [0.354, 0.354, 0.934], [0.490, 0.490, 0.625], [0.510, 0.510, 0.375], [0.646, 0.646, 0.066], [0.273, 0.273, 0.127], [0.727, 0.727, 0.873]],
  "ef_ev_per_fu": -4.1,
  "magmom_total_mub_per_cell": 0.00
}

3.
{
  "formula": "YGeTe2Ru",
  "functional": "GGA-PBEsol",
  "state": "relaxed",
  "lattice_angstrom": [[5.710, 0.000, 0.000], [0.000, 5.710, 0.000], [0.000, 0.000, 4.741]],
  "species": ["Y", "Ge", "Te", "Te", "Ru"],
  "frac_coords": [[0.000, 0.000, 0.000], [0.500, 0.500, 0.500], [0.000, 0.500, 0.000], [0.500, 0.000, 0.000], [0.000, 0.000, 0.500]],
  "e_tot_ev_per_atom": -4.89,
  "magmom_total_mub_per_cell": 1.23
}

4.
{
  "formula": "ThGe2Ru2",
  "functional": "GGA-PBEsol",
  "state": "relaxed",
  "lattice_angstrom": [[4.246, 0.000, 0.000], [0.000, 4.246, 0.000], [0.000, 0.000, 9.880]],
  "species": ["Th", "Th", "Ge", "Ge", "Ge", "Ge", "Ru", "Ru", "Ru", "Ru"],
  "frac_coords": [[0.000, 0.000, 0.000], [0.500, 0.500, 0.500], [0.000, 0.000, 0.370], [0.000, 0.000, 0.630], [0.500, 0.500, 0.130], [0.500, 0.500, 0.870], [0.000, 0.500, 0.250], [0.000, 0.500, 0.750], [0.500, 0.000, 0.250], [0.500, 0.000, 0.750]],
  "ef_ev_per_fu": -3.5,
  "magmom_total_mub_per_cell": 0.00
}

no.,volume (Å³/atom),calculated density (Mg/m³),DOS at the Fermi energy (states/eV/atom)
1,22.3,7.70,0.72
2,20.1,9.31,0.57
3,30.9,5.56,0.78
4,17.8,10.81,0.51